## ThAlPt6 (GGA-PBE)

Data for a geometry-optimized ThAlPt6 structure.

a b c (Å): 4.139 4.139 7.990
angles (deg): 90.00 90.00 90.00
Atoms (fractional coordinates):
Pt (0.000, 0.500, 0.729)
Pt (0.500, 0.500, 0.000)
Pt (0.000, 0.500, 0.271)
Pt (0.500, 0.000, 0.271)
Pt (0.500, 0.000, 0.729)
Pt (0.500, 0.500, 0.500)
Al (0.000, 0.000, 0.500)
Th (0.000, 0.000, 0.000)

Calculated values
SG: P4/mmm
Magnetic moment: 0.0 μB per formula unit
Total energy: -54.3 eV per formula unit

---

## PmErAs2 (GGA-PBE)

Data for a geometry-optimized PmErAs2 structure.

a b c (Å): 4.165 4.165 7.199
angles (deg): 89.98 106.83 120.01
Atoms (fractional coordinates):
Pm (0.000, 0.500, 0.500)
Er (0.000, 0.000, 0.000)
As (0.506, 0.253, 0.760)
As (0.494, 0.747, 0.240)

Calculated values
SG: R-3m
E above lowest polymorph: 0.0000 eV per atom
Magnetic moment: 0.0 μB per formula unit
Total energy: -24.7 eV per formula unit

---

## Ag2CBr (GGA-PBE)

Data for a geometry-optimized Ag2CBr structure.

a b c (Å): 6.024 6.024 6.280
angles (deg): 61.34 61.34 90.00
Atoms (fractional coordinates):
Ag (0.525, 0.125, 0.250)
Ag (0.875, 0.775, 0.750)
Ag (0.225, 0.625, 0.250)
Ag (0.375, 0.475, 0.750)
Br (0.000, 0.000, 0.000)
Br (0.750, 0.250, 0.500)
C (0.500, 0.500, 0.000)
C (0.250, 0.750, 0.500)

Calculated values
SG: I-42d
Uncorrected formation energy: 1.001 eV/atom
E above lowest polymorph: 0.0000 eV per atom
Magnetic moment: 0.0 μB per formula unit
Total energy: -12.6 eV per formula unit

---

## AcBePRh6 (GGA-PBE)

Data for a geometry-optimized AcBePRh6 structure.

a b c (Å): 6.069 9.197 7.893
angles (deg): 125.63 112.61 90.00
Atoms (fractional coordinates):
Be (0.500, 0.000, 0.500)
Be (0.000, 0.000, 0.500)
Rh (0.444, 0.694, 0.887)
Rh (0.895, 0.658, 0.268)
Rh (0.108, 0.858, 0.215)
Rh (0.556, 0.306, 0.113)
Rh (0.373, 0.658, 0.268)
Rh (0.895, 0.110, 0.268)
Rh (0.627, 0.342, 0.732)
Rh (0.892, 0.142, 0.785)
Rh (0.105, 0.890, 0.732)
Rh (0.105, 0.342, 0.732)
Rh (0.373, 0.110, 0.268)
Rh (0.627, 0.890, 0.732)
Ac (0.158, 0.408, 0.317)
Ac (0.842, 0.592, 0.683)
P (0.500, 0.500, 0.000)
P (0.500, 0.000, 0.000)

Calculated values
SG: Imma
Magnetic moment: 0.0 μB per formula unit
Total energy: -59.1 eV per formula unit